Record 1
Material: FeReTcSb2
Method: DFT, PBE
State: optimized geometry

The structure in POSCAR format:
```
FeReTcSb2
1.0
-4.206 0.453 -2.168
-1.929 -2.318 3.258
-0.800 4.029 2.393
Tc Re Sb Fe
1 1 2 1
direct
0.500 0.500 0.500
0.000 0.500 0.000
0.000 0.000 0.500
0.500 0.000 0.000
0.000 0.000 0.000
```

E_form (uncorrected): 1.388 eV/atom
Fermi-level density of states: 1.5380 states/eV per atom
Crystal system: tetragonal

---

Record 2
Material: CaTiTeI2
Method: DFT, PBE
State: optimized geometry

The structure in POSCAR format:
```
CaTiTeI2
1.0
5.580 0.000 0.000
0.000 5.580 0.000
0.000 0.000 5.569
Ti Te I Ca
1 1 2 1
direct
0.000 0.000 0.000
0.000 0.000 0.500
0.500 0.000 0.000
0.000 0.500 0.000
0.500 0.500 0.500
```

E_form (uncorrected): -0.595 eV/atom
Fermi-level density of states: 0.8413 states/eV per atom
ΔE to the lowest computed polymorph: 0 meV/atom
Crystal system: tetragonal

---

Record 3
Material: LiPu2H4
Method: DFT, PBE
State: optimized geometry

The structure in POSCAR format:
```
LiPu2H4
1.0
-5.396 -2.652 0.446
2.173 -4.527 -0.629
2.937 0.681 5.241
H Pu Li
8 4 2
direct
0.032 0.750 0.308
0.327 0.500 0.674
0.307 0.750 0.031
0.968 0.250 0.692
0.327 0.000 0.674
0.673 0.500 0.326
0.693 0.250 0.969
0.673 0.000 0.326
0.982 0.750 0.656
0.657 0.750 0.982
0.018 0.250 0.344
0.343 0.250 0.018
0.631 0.250 0.633
0.369 0.750 0.367
```

Fermi-level density of states: 1.7503 states/eV per atom
ΔE to the lowest computed polymorph: 65 meV/atom
Crystal system: monoclinic

---

Record 4
Material: La5PrSm2Tm
Method: DFT, PBE
State: optimized geometry

The structure in POSCAR format:
```
La5PrSm2Tm
1.0
9.531 0.000 0.000
0.000 9.531 0.000
-4.766 -4.766 7.175
La Pr Sm Tm
10 2 4 2
direct
0.931 0.431 0.272
0.500 0.500 0.000
0.159 0.069 0.728
0.431 0.341 0.272
0.841 0.931 0.272
0.659 0.159 0.728
0.569 0.659 0.728
0.000 0.000 0.000
0.069 0.569 0.728
0.341 0.841 0.272
0.750 0.750 0.500
0.250 0.250 0.500
0.391 0.891 0.000
0.609 0.109 0.000
0.891 0.609 0.000
0.109 0.391 0.000
0.750 0.250 0.500
0.250 0.750 0.500
```

Fermi-level density of states: 1.7616 states/eV per atom
Formation energy from the elements: 0.27 eV per atom
Crystal system: tetragonal

---

Record 5
Material: ScTeBr
Method: DFT, PBE
State: optimized geometry

The structure in POSCAR format:
```
ScTeBr
1.0
4.971 0.000 0.000
2.485 4.305 0.000
2.485 1.435 4.059
Br Sc Te
1 1 1
direct
0.500 0.500 0.500
0.750 0.750 0.750
0.000 0.000 0.000
```

E_form (uncorrected): -1.088 eV/atom
Crystal system: cubic

---

Record 6
Material: Dy6AlTl2
Method: DFT, PBE
State: optimized geometry

The structure in POSCAR format:
```
Dy6AlTl2
1.0
4.353 0.000 0.000
0.000 8.308 0.000
0.000 -4.154 7.195
Dy Tl Al
6 2 1
direct
0.500 0.601 0.000
0.500 0.000 0.600
0.000 0.256 0.000
0.000 0.744 0.744
0.500 0.399 0.400
0.000 0.000 0.256
0.000 0.333 0.667
0.000 0.667 0.333
0.500 0.000 0.000
```

Fermi-level density of states: 1.0928 states/eV per atom
Formation energy from the elements: -0.24 eV per atom
Crystal system: hexagonal

---

Record 7
Material: KW3C
Method: DFT, PBE
State: optimized geometry

The structure in POSCAR format:
```
KW3C
1.0
4.492 0.000 0.000
0.000 4.492 0.000
0.000 0.000 4.492
W K C
3 1 1
direct
0.000 0.500 0.000
0.000 0.000 0.500
0.500 0.000 0.000
0.000 0.000 0.000
0.500 0.500 0.500
```

Fermi-level density of states: 0.9777 states/eV per atom
ΔE to the lowest computed polymorph: 3538 meV/atom
Formation energy from the elements: 4.94 eV per atom
Crystal system: cubic

---

Record 8
Material: ZrAl3Ni
Method: DFT, PBE
State: optimized geometry

The structure in POSCAR format:
```
ZrAl3Ni
1.0
-5.169 3.526 0.878
-3.426 -4.220 -3.220
-1.210 -3.110 5.365
Al Zr Ni
9 3 3
direct
0.268 0.732 0.268
0.268 0.732 0.732
0.732 0.268 0.732
0.732 0.732 0.268
0.732 0.732 0.732
0.500 0.500 0.500
0.268 0.268 0.732
0.268 0.268 0.268
0.732 0.268 0.268
0.500 0.000 0.000
0.000 0.500 0.000
0.000 0.000 0.500
0.500 0.000 0.500
0.000 0.500 0.500
0.500 0.500 0.000
```

Fermi-level density of states: 0.3009 states/eV per atom
Formation energy from the elements: -0.21 eV per atom
Crystal system: cubic

---

Record 9
Material: CeHo2TmBi4
Method: DFT, PBE
State: optimized geometry

The structure in POSCAR format:
```
CeHo2TmBi4
1.0
4.496 0.000 0.000
0.000 7.770 0.134
0.000 -2.717 7.287
Bi Ho Tm Ce
4 2 1 1
direct
0.000 0.756 0.255
0.500 0.754 0.749
0.000 0.244 0.745
0.500 0.246 0.251
0.500 0.000 0.500
0.000 0.500 0.500
0.000 0.000 0.000
0.500 0.500 0.000
```

Fermi-level density of states: 0.8616 states/eV per atom
Formation energy from the elements: -0.81 eV per atom
Crystal system: monoclinic

---

Record 10
Material: TmInHgGe
Method: DFT, PBE
State: optimized geometry

The structure in POSCAR format:
```
TmInHgGe
1.0
5.114 0.000 0.000
2.557 4.429 0.000
2.557 1.476 4.176
In Ge Tm Hg
1 1 1 1
direct
0.000 0.000 0.000
0.250 0.250 0.250
0.500 0.500 0.500
0.750 0.750 0.750
```

Fermi-level density of states: 0.5089 states/eV per atom
Formation energy from the elements: -0.20 eV per atom
Crystal system: cubic

---

Record 11
Material: MgCrCd2
Method: DFT, PBE
State: optimized geometry

The structure in POSCAR format:
```
MgCrCd2
1.0
-1.647 -2.736 -0.683
1.719 -1.727 2.773
-4.806 1.859 4.137
Cd Mg Cr
2 1 1
direct
0.000 0.000 0.013
0.000 0.000 0.487
0.500 0.500 0.750
0.500 0.500 0.250
```

Fermi-level density of states: 0.4220 states/eV per atom
Formation energy from the elements: 0.19 eV per atom
Crystal system: orthorhombic

---

Record 12
Material: K2Cu2F7
Method: DFT, PBE
State: optimized geometry

The structure in POSCAR format:
```
K2Cu2F7
1.0
-3.025 -2.760 1.317
-1.563 0.629 -7.090
6.101 -3.382 2.106
F K Cu
7 2 2
direct
0.140 0.927 0.638
0.639 0.381 0.381
0.860 0.362 0.073
0.361 0.619 0.619
0.140 0.638 0.927
0.860 0.073 0.362
0.000 0.000 0.000
0.500 0.691 0.309
0.500 0.309 0.691
0.151 0.791 0.791
0.849 0.209 0.209
```

E_form (uncorrected): -1.980 eV/atom
Fermi-level density of states: 0.0791 states/eV per atom
ΔE to the lowest computed polymorph: 0 meV/atom
Crystal system: monoclinic

---

Record 13
Material: DyTmIr2
Method: DFT, PBE
State: optimized geometry

The structure in POSCAR format:
```
DyTmIr2
1.0
3.563 0.000 0.000
0.000 4.700 0.000
0.000 0.000 4.700
Dy Tm Ir
1 1 2
direct
0.500 0.500 0.500
0.500 0.000 0.000
0.000 0.500 0.000
0.000 0.000 0.500
```

Fermi-level density of states: 0.2080 states/eV per atom
ΔE to the lowest computed polymorph: 0 meV/atom
Formation energy from the elements: -0.87 eV per atom
Crystal system: tetragonal

---

Record 14
Material: CaHoCd2Pd4
Method: DFT, PBE
State: optimized geometry

The structure in POSCAR format:
```
CaHoCd2Pd4
1.0
4.805 0.000 0.000
2.403 4.162 0.000
2.403 1.387 7.764
Pd Ho Ca Cd
4 1 1 2
direct
0.377 0.377 0.868
0.127 0.127 0.618
0.873 0.873 0.382
0.623 0.623 0.132
0.500 0.500 0.500
0.000 0.000 0.000
0.749 0.749 0.753
0.251 0.251 0.247
```

Fermi-level density of states: 0.4690 states/eV per atom
Formation energy from the elements: -0.66 eV per atom
Crystal system: trigonal

---

Record 15
Material: SmHoInOs
Method: DFT, PBE
State: optimized geometry

The structure in POSCAR format:
```
SmHoInOs
1.0
5.085 0.000 0.000
2.542 4.404 0.000
2.542 1.468 4.152
In Os Sm Ho
1 1 1 1
direct
0.000 0.000 0.000
0.500 0.500 0.500
0.250 0.250 0.250
0.750 0.750 0.750
```

Fermi-level density of states: 0.5996 states/eV per atom
Formation energy from the elements: -0.19 eV per atom
Crystal system: cubic

---

Record 16
Material: SrSmTl2
Method: DFT, PBE
State: optimized geometry

The structure in POSCAR format:
```
SrSmTl2
1.0
-1.254 -3.645 -0.953
-0.876 -2.609 2.862
-10.173 1.155 0.694
Sm Sr Tl
1 1 2
direct
0.667 0.667 0.998
0.499 0.499 0.502
0.253 0.253 0.240
0.080 0.080 0.761
```

Fermi-level density of states: 0.7188 states/eV per atom
Formation energy from the elements: -0.22 eV per atom
Crystal system: trigonal

---

Record 17
Material: Y7ErTm3
Method: DFT, PBE
State: optimized geometry

The structure in POSCAR format:
```
Y7ErTm3
1.0
-4.315 3.241 -2.017
-2.536 -4.301 6.756
4.507 4.354 5.596
Y Tm Er
7 3 1
direct
0.305 0.601 0.009
0.793 0.793 0.793
0.695 0.399 0.991
0.207 0.207 0.207
0.695 0.991 0.399
0.000 0.500 0.500
0.305 0.009 0.601
0.000 0.207 0.793
0.000 0.793 0.207
0.500 0.000 0.000
0.500 0.500 0.500
```

Fermi-level density of states: 1.4467 states/eV per atom
ΔE to the lowest computed polymorph: 124 meV/atom
Formation energy from the elements: 0.27 eV per atom
Crystal system: orthorhombic

---

Record 18
Material: LiYThIr
Method: DFT, PBE
State: optimized geometry

The structure in POSCAR format:
```
LiYThIr
1.0
5.028 0.000 0.000
2.514 4.354 0.000
2.514 1.451 4.105
Ir Y Li Th
1 1 1 1
direct
0.500 0.500 0.500
0.750 0.750 0.750
0.000 0.000 0.000
0.250 0.250 0.250
```

Fermi-level density of states: 0.9222 states/eV per atom
Formation energy from the elements: -0.43 eV per atom
Crystal system: cubic